Record 1
Here is an optimized crystal structure of Mg3TlSn3 from the Alexandria database. Energies are from PBE.

Cell lengths 7.9911, 7.9911, 7.9911 Å; angles 90.00, 90.00, 90.00 degrees
Last column: nearest neighbours and their distance in Å.
Fractional coordinates of all 14 atoms:
Mg (0.0000, 0.2500, 0.5000)  4 Sn 2.83
Mg (0.0000, 0.7500, 0.5000)  4 Sn 2.83
Mg (0.5000, 0.0000, 0.7500)  4 Sn 2.83
Mg (0.7500, 0.5000, 0.0000)  4 Sn 2.83
Mg (0.5000, 0.0000, 0.2500)  4 Sn 2.83
Mg (0.2500, 0.5000, 0.0000)  4 Sn 2.83
Tl (0.5000, 0.5000, 0.5000)  12 Sn 4.47, 12 Mg 4.47
Tl (0.0000, 0.0000, 0.0000)  12 Mg 4.47, 12 Sn 4.47
Sn (0.2500, 0.0000, 0.5000)  4 Mg 2.83
Sn (0.0000, 0.5000, 0.2500)  4 Mg 2.83
Sn (0.5000, 0.7500, 0.0000)  4 Mg 2.83
Sn (0.7500, 0.0000, 0.5000)  4 Mg 2.83
Sn (0.0000, 0.5000, 0.7500)  4 Mg 2.83
Sn (0.5000, 0.2500, 0.0000)  4 Mg 2.83

Crystal system = cubic
DFT formation energy = 0.35 eV/atom
D(E_F) = 10.896 states/eV per cell

=====

Record 2
Here is an optimized crystal structure of Mg2Tl2Sn from the Alexandria database. Energies are from PBE.

Cell lengths 8.5327, 8.5327, 3.5941 Å; angles 90.00, 90.00, 90.00 degrees
Last column: nearest neighbours and their distance in Å.
Fractional coordinates of all 10 atoms:
Mg (0.3651, 0.8651, 0.0000)  6 Tl 3.01-3.14, 1 Mg 3.25, 2 Sn 3.32
Mg (0.8651, 0.6349, 0.0000)  6 Tl 3.01-3.14, 1 Mg 3.25, 2 Sn 3.32
Mg (0.6349, 0.1349, 0.0000)  6 Tl 3.01-3.14, 1 Mg 3.25, 2 Sn 3.32
Mg (0.1349, 0.3651, 0.0000)  6 Tl 3.01-3.14, 1 Mg 3.25, 2 Sn 3.32
Tl (0.1650, 0.6650, 0.5000)  6 Mg 3.01-3.14
Tl (0.6650, 0.8350, 0.5000)  6 Mg 3.01-3.14
Tl (0.8350, 0.3350, 0.5000)  6 Mg 3.01-3.14
Tl (0.3350, 0.1650, 0.5000)  6 Mg 3.01-3.14
Sn (0.0000, 0.0000, 0.0000)  4 Mg 3.32, 2 Sn 3.59, 8 Tl 3.66
Sn (0.5000, 0.5000, 0.0000)  4 Mg 3.32, 2 Sn 3.59, 8 Tl 3.66

Energy relative to the lowest polymorph listed for this composition = 0 meV/atom
Crystal system = tetragonal
DFT formation energy = 0.02 eV/atom
D(E_F) = 5.932 states/eV per cell

=====

Record 3
Here is an optimized crystal structure of MgTl4Sn4 from the Alexandria database. Energies are from PBE.

Cell lengths 4.8798, 7.6698, 7.6698 Å; angles 84.19, 71.45, 71.45 degrees
Last column: nearest neighbours and their distance in Å.
Fractional coordinates of all 9 atoms:
Mg (0.5000, 0.5000, 0.0000)  4 Tl 3.33, 8 Sn 3.33
Tl (0.5004, 0.1761, 0.3232)  1 Mg 3.33, 6 Sn 3.39-3.55, 5 Tl 3.54-3.63
Tl (0.4996, 0.8239, 0.6768)  1 Mg 3.33, 6 Sn 3.39-3.55, 5 Tl 3.54-3.63
Tl (0.1765, 0.8232, 0.3239)  1 Mg 3.33, 6 Sn 3.39-3.55, 5 Tl 3.54-3.63
Tl (0.8235, 0.1768, 0.6761)  1 Mg 3.33, 6 Sn 3.39-3.55, 5 Tl 3.54-3.63
Sn (0.1565, 0.1875, 0.9995)  2 Sn 3.21, 2 Mg 3.33, 6 Tl 3.39-3.55
Sn (0.8435, 0.8125, 0.0005)  2 Sn 3.21, 2 Mg 3.33, 6 Tl 3.39-3.55
Sn (0.8440, 0.4995, 0.3125)  2 Sn 3.21, 2 Mg 3.33, 6 Tl 3.39-3.55
Sn (0.1560, 0.5005, 0.6875)  2 Sn 3.21, 2 Mg 3.33, 6 Tl 3.39-3.55

Crystal system = tetragonal
DFT formation energy = 0.01 eV/atom
D(E_F) = 2.972 states/eV per cell

=====

Record 4
Here is an optimized crystal structure of Mg6TlSn3 from the Alexandria database. Energies are from PBE.

Cell lengths 6.3678, 9.1717, 9.1717 Å; angles 103.00, 90.00, 90.00 degrees
Last column: nearest neighbours and their distance in Å.
Fractional coordinates of all 20 atoms:
Mg (0.1339, 0.6783, 0.6218)  4 Sn 2.89-3.01
Mg (0.6339, 0.6218, 0.6783)  4 Sn 2.89-3.01
Mg (0.3286, 0.5453, 0.9429)  3 Sn 2.95-3.04, 1 Mg 3.29
Mg (0.8286, 0.9429, 0.5453)  3 Sn 2.95-3.04, 1 Mg 3.29
Mg (0.2208, 0.9820, 0.0180)  4 Sn 3.06-3.09, 2 Tl 3.19-3.36, 3 Mg 3.21-3.23
Mg (0.6054, 0.2357, 0.7643)  3 Sn 2.85-3.02, 1 Tl 3.02
Mg (0.1054, 0.7643, 0.2357)  3 Sn 2.85-3.02, 1 Tl 3.02
Mg (0.7208, 0.0180, 0.9820)  4 Sn 3.06-3.09, 2 Tl 3.19-3.36, 3 Mg 3.21-3.23
Mg (0.3286, 0.0571, 0.4547)  3 Sn 2.95-3.04, 1 Mg 3.29
Mg (0.8286, 0.4547, 0.0571)  3 Sn 2.95-3.04, 1 Mg 3.29
Mg (0.1339, 0.3782, 0.3217)  4 Sn 2.89-3.01
Mg (0.6339, 0.3217, 0.3782)  4 Sn 2.89-3.01
Tl (0.0695, 0.1936, 0.8064)  5 Mg 3.02-3.36, 3 Sn 3.14-3.34
Tl (0.5695, 0.8064, 0.1936)  5 Mg 3.02-3.36, 3 Sn 3.14-3.34
Sn (0.4274, 0.9223, 0.7092)  7 Mg 2.89-3.09
Sn (0.9274, 0.7092, 0.9223)  7 Mg 2.89-3.09
Sn (0.3098, 0.3845, 0.6155)  7 Mg 2.85-3.04, 1 Tl 3.14
Sn (0.8098, 0.6155, 0.3845)  7 Mg 2.85-3.04, 1 Tl 3.14
Sn (0.9274, 0.0777, 0.2908)  7 Mg 2.89-3.09
Sn (0.4274, 0.2908, 0.0777)  7 Mg 2.89-3.09

Crystal system = orthorhombic
DFT formation energy = -0.04 eV/atom
D(E_F) = 5.171 states/eV per cell

=====

Record 5
Here is an optimized crystal structure of Mg7TlSn2 from the Alexandria database. Energies are from PBE.

Cell lengths 4.8570, 4.8570, 11.1747 Å; angles 102.55, 102.55, 90.00 degrees
Last column: nearest neighbours and their distance in Å.
Fractional coordinates of all 10 atoms:
Mg (0.0902, 0.5902, 0.1804)  2 Sn 2.97, 2 Mg 3.09, 2 Tl 3.09
Mg (0.4098, 0.9098, 0.8196)  2 Sn 2.97, 2 Tl 3.09, 2 Mg 3.09
Mg (0.5902, 0.0902, 0.1804)  2 Sn 2.97, 2 Tl 3.09, 2 Mg 3.09
Mg (0.5000, 0.5000, 0.0000)  8 Mg 3.09, 4 Tl 3.43
Mg (0.7500, 0.2500, 0.5000)  4 Sn 2.96
Mg (0.9098, 0.4098, 0.8196)  2 Sn 2.97, 2 Mg 3.09, 2 Tl 3.09
Mg (0.2500, 0.7500, 0.5000)  4 Sn 2.96
Tl (0.0000, 0.0000, 0.0000)  12 Mg 3.09-3.43
Sn (0.6703, 0.6703, 0.3405)  8 Mg 2.96-2.97
Sn (0.3297, 0.3297, 0.6595)  8 Mg 2.96-2.97

Crystal system = tetragonal
DFT formation energy = -0.08 eV/atom
D(E_F) = 3.464 states/eV per cell

=====

Record 6
Here is an optimized crystal structure of TmMgTlSn from the Alexandria database. Energies are from PBE.

Cell lengths 4.3699, 4.8813, 4.6421 Å; angles 90.00, 90.00, 90.00 degrees
Last column: nearest neighbours and their distance in Å.
Fractional coordinates of all 4 atoms:
Tm (0.5000, 0.0000, 0.5000)  4 Sn 3.19, 4 Tl 3.28, 4 Mg 3.37
Mg (0.5000, 0.5000, 0.0000)  4 Tl 3.19, 4 Sn 3.28, 4 Tm 3.37
Tl (0.0000, 0.5000, 0.5000)  4 Mg 3.19, 4 Tm 3.28, 4 Sn 3.37
Sn (0.0000, 0.0000, 0.0000)  4 Tm 3.19, 4 Mg 3.28, 4 Tl 3.37

Energy relative to the lowest polymorph listed for this composition = 0 meV/atom
Crystal system = orthorhombic
DFT formation energy = -0.35 eV/atom
D(E_F) = 1.471 states/eV per cell

=====

Record 7
Here is an optimized crystal structure of TmMgTlSn from the Alexandria database. Energies are from PBE.

Cell lengths 5.2489, 5.2489, 5.2489 Å; angles 60.00, 60.00, 60.00 degrees
Last column: nearest neighbours and their distance in Å.
Fractional coordinates of all 4 atoms:
Mg (0.0000, 0.0000, 0.0000)  4 Sn 3.21, 4 Tl 3.21
Tl (0.2500, 0.2500, 0.2500)  4 Mg 3.21, 4 Tm 3.21
Tm (0.5000, 0.5000, 0.5000)  4 Tl 3.21, 4 Sn 3.21
Sn (0.7500, 0.7500, 0.7500)  4 Tm 3.21, 4 Mg 3.21

Energy relative to the lowest polymorph listed for this composition = 132 meV/atom
Crystal system = cubic
DFT formation energy = -0.22 eV/atom
D(E_F) = 3.483 states/eV per cell

=====

Record 8
Here is an optimized crystal structure of MgTlZnSn from the Alexandria database. Energies are from PBE.

Cell lengths 5.1336, 5.1336, 5.1336 Å; angles 60.00, 60.00, 60.00 degrees
Last column: nearest neighbours and their distance in Å.
Fractional coordinates of all 4 atoms:
Mg (0.5000, 0.5000, 0.5000)  4 Tl 3.14, 4 Sn 3.14
Zn (0.0000, 0.0000, 0.0000)  4 Tl 3.14, 4 Sn 3.14
Tl (0.7500, 0.7500, 0.7500)  4 Mg 3.14, 4 Zn 3.14
Sn (0.2500, 0.2500, 0.2500)  4 Mg 3.14, 4 Zn 3.14

Crystal system = cubic
DFT formation energy = 0.07 eV/atom
D(E_F) = 2.476 states/eV per cell

=====

Record 9
Here is an optimized crystal structure of MgTl2ZnSn2 from the Alexandria database. Energies are from PBE.

Cell lengths 6.4230, 6.4561, 9.0061 Å; angles 111.00, 110.89, 90.00 degrees
Last column: nearest neighbours and their distance in Å.
Fractional coordinates of all 12 atoms:
Mg (0.0000, 0.7500, 0.0000)  4 Sn 3.03, 2 Zn 3.21, 2 Mg 3.23
Mg (0.0000, 0.2500, 0.0000)  4 Sn 3.03, 2 Zn 3.21, 2 Mg 3.23
Tl (0.4017, 0.1747, 0.3493)  5 Sn 3.21-3.36, 2 Mg 3.48
Tl (0.5983, 0.8253, 0.6507)  5 Sn 3.21-3.36, 2 Mg 3.48
Tl (0.0523, 0.3253, 0.6507)  5 Sn 3.21-3.36, 2 Mg 3.48
Tl (0.9477, 0.6747, 0.3493)  5 Sn 3.21-3.36, 2 Mg 3.48
Zn (0.5000, 0.7500, 0.0000)  4 Sn 2.84
Zn (0.5000, 0.2500, 0.0000)  4 Sn 2.84
Sn (0.8405, 0.1187, 0.2375)  2 Zn 2.84, 2 Mg 3.03
Sn (0.3969, 0.6187, 0.2375)  2 Zn 2.84, 2 Mg 3.03
Sn (0.6031, 0.3813, 0.7625)  2 Zn 2.84, 2 Mg 3.03
Sn (0.1595, 0.8813, 0.7625)  2 Zn 2.84, 2 Mg 3.03

Crystal system = orthorhombic
DFT formation energy = 0.01 eV/atom
D(E_F) = 5.219 states/eV per cell

=====

Record 10
Here is an optimized crystal structure of MgZr2TlSn from the Alexandria database. Energies are from PBE.

Cell lengths 5.4133, 4.9597, 5.4133 Å; angles 90.00, 90.00, 90.00 degrees
Last column: nearest neighbours and their distance in Å.
Fractional coordinates of all 5 atoms:
Mg (0.0000, 0.5000, 0.0000)  2 Tl 2.48
Tl (0.0000, 0.0000, 0.0000)  2 Mg 2.48, 4 Zr 2.71
Sn (0.5000, 0.5000, 0.5000)  8 Zr 3.67, 4 Mg 3.83
Zr (0.0000, 0.0000, 0.5000)  2 Tl 2.71
Zr (0.5000, 0.0000, 0.0000)  2 Tl 2.71

Crystal system = tetragonal
DFT formation energy = 0.70 eV/atom
D(E_F) = 3.728 states/eV per cell

=====

Record 11
Here is an optimized crystal structure of TmMgSn from the Alexandria database. Energies are from PBE.

Cell lengths 3.4783, 3.4783, 6.7538 Å; angles 104.92, 104.92, 90.00 degrees
Last column: nearest neighbours and their distance in Å.
Fractional coordinates of all 3 atoms:
Mg (0.9399, 0.9399, 0.8798)  4 Sn 3.10, 4 Tm 3.35
Tm (0.6202, 0.6202, 0.2404)  4 Sn 3.26, 4 Mg 3.35, 4 Tm 3.48
Sn (0.2899, 0.2899, 0.5798)  4 Mg 3.10, 4 Tm 3.26

Crystal system = tetragonal
DFT formation energy = -0.26 eV/atom
D(E_F) = 2.611 states/eV per cell

=====

Record 12
Here is an optimized crystal structure of Tm5Mg4Sn from the Alexandria database. Energies are from PBE.

Cell lengths 3.7879, 3.7879, 18.2080 Å; angles 90.00, 90.00, 90.00 degrees
Last column: nearest neighbours and their distance in Å.
Fractional coordinates of all 10 atoms:
Tm (0.5000, 0.5000, 0.0982)  4 Sn 3.22, 4 Mg 3.26, 1 Tm 3.58
Tm (0.5000, 0.5000, 0.2981)  8 Mg 3.22-3.25
Tm (0.5000, 0.5000, 0.5000)  8 Mg 3.25
Tm (0.5000, 0.5000, 0.7019)  8 Mg 3.22-3.25
Tm (0.5000, 0.5000, 0.9018)  4 Sn 3.22, 4 Mg 3.26, 1 Tm 3.58
Mg (0.0000, 0.0000, 0.1999)  8 Tm 3.22-3.26
Mg (0.0000, 0.0000, 0.3989)  8 Tm 3.25, 1 Mg 3.62
Mg (0.0000, 0.0000, 0.6011)  8 Tm 3.25, 1 Mg 3.62
Mg (0.0000, 0.0000, 0.8001)  8 Tm 3.22-3.26
Sn (0.0000, 0.0000, 0.0000)  8 Tm 3.22

Crystal system = tetragonal
DFT formation energy = -0.18 eV/atom
D(E_F) = 8.234 states/eV per cell